Entry 1:
Entry from Alexandria: an optimized crystal structure of NdHSe (GGA-PBEsol).

Properties
- Final energy: -33.493 eV for the cell shown
- Crystal system: hexagonal
- Theoretical density: 6.998 Mg/m³
- Total magnetization: 0.000 μB/cell

abc: 3.9563 3.9563 7.8498
angles: 90.00 90.00 120.00
Space group P6_3/mmc (No. 194)
Symmetry-distinct sites (fractional):
Nd1 0.3333 0.6667 0.2500 x2
H1 0.3333 0.6667 0.7500 x2
Se1 0.0000 0.0000 0.0000 x2

---

Entry 2:
Entry from Alexandria: an optimized crystal structure of NiH2O2 (GGA-PBEsol).

Properties
- ΔE to the lowest computed polymorph: 0.000 eV/atom
- Crystal system: trigonal
- Theoretical density: 4.255 Mg/m³
- Total magnetization: 1.985 μB/cell

abc: 3.1110 3.1110 4.3160
angles: 90.00 90.00 120.00
Space group P-3m1 (No. 164)
Symmetry-distinct sites (fractional):
Ni1 0.0000 0.0000 0.0000 x1
H1 0.3333 0.6667 0.5441 x2
O1 0.3333 0.6667 0.7720 x2